## GeTe2Au (PBE-GGA)

Data for crystalline GeTe2Au at its relaxed geometry.

Cell and atoms, written as POSCAR:
```
GeTe2Au
1.0
3.678 -3.404 1.157
2.508 0.346 4.477
-0.805 -3.506 3.676
Au Ge Te
1 1 2
direct
0.500 0.500 0.500 Au
0.750 0.750 0.750 Ge
0.000 0.000 0.000 Te
0.250 0.250 0.250 Te
```

Crystal system = cubic
Calculated volume = 24.054 A^3/atom
Calculated total energy = -3.179 eV per atom
Space group = F-43m

***

## TlGeTe3Au (PBE-GGA)

Data for crystalline TlGeTe3Au at its relaxed geometry.

Cell and atoms, written as POSCAR:
```
TlGeTe3Au
1.0
-8.715 8.258 0.069
-0.529 -0.522 -4.321
-8.854 -9.363 2.215
Au Ge Te Tl
4 4 12 4
direct
0.751 0.000 0.140 Au
0.251 0.000 0.360 Au
0.749 0.500 0.640 Au
0.249 0.500 0.860 Au
0.015 0.500 0.245 Ge
0.515 0.500 0.255 Ge
0.485 0.000 0.745 Ge
0.985 0.000 0.755 Ge
0.526 0.000 0.095 Te
0.975 0.000 0.103 Te
0.243 0.500 0.218 Te
0.743 0.500 0.282 Te
0.475 0.000 0.397 Te
0.026 0.000 0.405 Te
0.974 0.500 0.595 Te
0.525 0.500 0.603 Te
0.257 0.000 0.718 Te
0.757 0.000 0.782 Te
0.025 0.500 0.897 Te
0.474 0.500 0.905 Te
0.252 0.000 0.027 Tl
0.752 0.000 0.473 Tl
0.248 0.500 0.527 Tl
0.748 0.500 0.973 Tl
```

Crystal system = orthorhombic
Calculated volume = 28.677 A^3/atom
Calculated total energy = -3.370 eV per atom
Space group = Pnma

***

## TlGeTe3Au (PBE-GGA)

Data for crystalline TlGeTe3Au at its relaxed geometry.

Cell and atoms, written as POSCAR:
```
TlGeTe3Au
1.0
7.483 -1.976 0.000
7.483 1.976 0.000
0.000 0.000 11.683
Au Ge Te Tl
2 2 6 2
direct
0.380 0.380 0.250 Au
0.620 0.620 0.750 Au
0.000 0.000 0.000 Ge
0.000 0.000 0.500 Ge
0.359 0.359 0.021 Te
0.025 0.025 0.250 Te
0.359 0.359 0.479 Te
0.641 0.641 0.521 Te
0.975 0.975 0.750 Te
0.641 0.641 0.979 Te
0.725 0.725 0.250 Tl
0.275 0.275 0.750 Tl
```

Crystal system = orthorhombic
Calculated volume = 28.794 A^3/atom
Calculated total energy = -3.357 eV per atom
Space group = Cmcm

***

## TmGeTe3Au (PBE-GGA)

Data for crystalline TmGeTe3Au at its relaxed geometry.

Cell and atoms, written as POSCAR:
```
TmGeTe3Au
1.0
-3.708 12.480 -5.533
-1.419 -1.927 -3.396
-10.270 -0.918 4.813
Au Ge Te Tm
4 4 12 4
direct
0.504 0.250 0.094 Au
0.004 0.250 0.406 Au
0.996 0.750 0.594 Au
0.496 0.750 0.906 Au
0.724 0.750 0.061 Ge
0.224 0.750 0.439 Ge
0.776 0.250 0.561 Ge
0.276 0.250 0.939 Ge
0.886 0.250 0.051 Te
0.363 0.750 0.112 Te
0.655 0.250 0.247 Te
0.155 0.250 0.253 Te
0.863 0.750 0.388 Te
0.386 0.250 0.449 Te
0.614 0.750 0.551 Te
0.137 0.250 0.612 Te
0.845 0.750 0.747 Te
0.345 0.750 0.753 Te
0.637 0.250 0.888 Te
0.114 0.750 0.949 Te
0.004 0.750 0.187 Tm
0.504 0.750 0.313 Tm
0.496 0.250 0.687 Tm
0.996 0.250 0.813 Tm
```

Crystal system = orthorhombic
Calculated volume = 27.862 A^3/atom
Calculated total energy = -4.157 eV per atom
Space group = Pnma
Size of the total moment = 0.003 μB/f.u.

***

## TmGeTe3Au (PBE-GGA)

Data for crystalline TmGeTe3Au at its relaxed geometry.

Cell and atoms, written as POSCAR:
```
TmGeTe3Au
1.0
-0.086 -3.179 9.570
-3.339 -5.138 8.009
5.198 -5.849 -3.492
Au Ge Te Tm
2 2 6 2
direct
0.556 0.556 0.216 Au
0.444 0.444 0.784 Au
0.882 0.882 0.434 Ge
0.118 0.118 0.566 Ge
0.000 0.000 0.000 Te
0.323 0.323 0.162 Te
0.688 0.688 0.366 Te
0.500 0.500 0.500 Te
0.312 0.312 0.634 Te
0.677 0.677 0.838 Te
0.161 0.161 0.091 Tm
0.839 0.839 0.909 Tm
```

Crystal system = monoclinic
Calculated volume = 28.475 A^3/atom
Calculated total energy = -4.126 eV per atom
Space group = C2/m
Size of the total moment = 0.018 μB/f.u.

***

## TmGeTe3Au (PBE-GGA)

Data for crystalline TmGeTe3Au at its relaxed geometry.

Cell and atoms, written as POSCAR:
```
TmGeTe3Au
1.0
-7.458 2.070 1.241
-7.651 -1.493 -0.829
0.050 -5.642 9.707
Au Ge Te Tm
2 2 6 2
direct
0.463 0.463 0.250 Au
0.537 0.537 0.750 Au
0.827 0.827 0.250 Ge
0.173 0.173 0.750 Ge
0.353 0.353 0.049 Te
0.088 0.088 0.250 Te
0.353 0.353 0.451 Te
0.647 0.647 0.549 Te
0.912 0.912 0.750 Te
0.647 0.647 0.951 Te
0.000 0.000 0.000 Tm
0.000 0.000 0.500 Tm
```

Crystal system = orthorhombic
Calculated volume = 29.189 A^3/atom
Calculated total energy = -4.168 eV per atom
Space group = Cmcm
Size of the total moment = 0.002 μB/f.u.

***

Number 3 is which compound?
TlGeTe3Au

***

Look up the calculated total energy of the fourth one.
-4.157 eV per atom